(1)
The following is a PBE calculation of a geometry-optimized BaHgAs2 structure, from the Open Quantum Materials Database.

Results
Raw total energy in eV per atom: -3.060

abc: 5.355 5.355 5.355
angles: 60.00 60.00 60.00
Fractional coordinates of all 4 atoms:
As  0.000  0.000  0.000
As  0.750  0.750  0.750
Ba  0.250  0.250  0.250
Hg  0.500  0.500  0.500



(2)
The following is a PBE calculation of a geometry-optimized LaGdTc structure, from the Open Quantum Materials Database.

Results
M_tot in μB per formula unit: 0.245
E above lowest polymorph in eV/atom: 0.000
ΔE_f in eV per atom: 0.8282

abc: 4.831 4.831 4.831
angles: 60.00 60.00 60.00
Fractional coordinates of all 3 atoms:
Gd  0.000  0.000  0.000
La  0.250  0.250  0.250
Tc  0.750  0.750  0.750



(3)
The following is a PBE calculation of a geometry-optimized Zr2InB2 structure, from the Open Quantum Materials Database.

Results
Raw total energy in eV per atom: -7.294
M_tot in μB per formula unit: 0.010

abc: 7.210 7.210 3.443
angles: 90.00 90.00 154.70
Fractional coordinates of all 5 atoms:
B  0.775  0.225  0.000
B  0.225  0.775  0.000
In  0.000  0.000  0.000
Zr  0.651  0.349  0.500
Zr  0.349  0.651  0.500



(4)
The following is a PBE calculation of a geometry-optimized ReIr6Os structure, from the Open Quantum Materials Database.

Results
M_tot in μB per formula unit: 0.005
ΔE_f in eV per atom: -0.0369

abc: 5.519 5.519 4.404
angles: 90.00 90.00 120.00
Fractional coordinates of all 8 atoms:
Ir  0.001  0.501  0.000
Ir  0.499  0.501  0.000
Ir  0.499  0.999  0.000
Ir  0.332  0.166  0.500
Ir  0.834  0.166  0.500
Ir  0.834  0.668  0.500
Os  0.000  0.000  0.000
Re  0.333  0.667  0.500



(5)
The following is a PBE calculation of a geometry-optimized MoN structure, from the Open Quantum Materials Database.

Results
Raw total energy in eV per atom: -9.575
M_tot in μB per formula unit: 0.000

abc: 5.489 3.403 4.848
angles: 90.00 90.00 90.00
Fractional coordinates of all 8 atoms:
Mo  0.250  0.000  0.035
Mo  0.000  0.500  0.500
Mo  0.500  0.500  0.500
Mo  0.750  0.000  0.965
N  0.750  0.500  0.159
N  0.250  0.000  0.432
N  0.750  0.000  0.568
N  0.250  0.500  0.841



(6)
The following is a PBE calculation of a geometry-optimized Hf2In2Hg structure, from the Open Quantum Materials Database.

Results
Raw total energy in eV per atom: -4.716
M_tot in μB per formula unit: 0.043

abc: 7.331 7.331 7.331
angles: 146.95 146.95 47.44
Fractional coordinates of all 5 atoms:
Hf  0.406  0.406  0.000
Hf  0.594  0.594  0.000
Hg  0.000  0.000  0.000
In  0.750  0.250  0.500
In  0.250  0.750  0.500



(7)
The following is a PBE calculation of a geometry-optimized ReS2 structure, from the Open Quantum Materials Database.

Results
Raw total energy in eV per atom: -7.277
M_tot in μB per formula unit: 0.003

abc: 5.926 5.845 5.986
angles: 90.00 112.33 90.00
Fractional coordinates of all 12 atoms:
Re  0.727  0.499  0.212
Re  0.273  0.999  0.288
Re  0.727  0.001  0.712
Re  0.273  0.501  0.788
S  0.852  0.129  0.125
S  0.348  0.362  0.175
S  0.652  0.862  0.325
S  0.148  0.629  0.375
S  0.852  0.371  0.625
S  0.348  0.138  0.675
S  0.652  0.638  0.825
S  0.148  0.871  0.875



(8)
The following is a PBE calculation of a geometry-optimized NdPaNO structure, from the Open Quantum Materials Database.

Results
M_tot in μB per formula unit: 0.821
E above lowest polymorph in eV/atom: 0.000

abc: 4.130 5.079 7.126
angles: 90.00 90.00 90.00
Fractional coordinates of all 8 atoms:
N  0.000  0.936  0.351
N  0.000  0.436  0.649
Nd  0.500  0.939  0.162
Nd  0.500  0.439  0.838
O  0.500  0.440  0.182
O  0.500  0.940  0.818
Pa  0.000  0.439  0.332
Pa  0.000  0.939  0.668



(9)
The following is a PBE calculation of a geometry-optimized BaHg2F8 structure, from the Open Quantum Materials Database.

Results
Raw total energy in eV per atom: -3.392

abc: 7.173 7.173 7.173
angles: 134.88 134.88 65.72
Fractional coordinates of all 11 atoms:
Ba  0.500  0.500  0.000
F  0.941  0.428  0.098
F  0.157  0.670  0.098
F  0.059  0.157  0.487
F  0.428  0.330  0.487
F  0.670  0.572  0.513
F  0.843  0.941  0.513
F  0.572  0.059  0.902
F  0.330  0.843  0.902
Hg  0.750  0.250  0.500
Hg  0.250  0.750  0.500



(10)
The following is a PBE calculation of a geometry-optimized LiDySO structure, from the Open Quantum Materials Database.

Results
M_tot in μB per formula unit: 0.003
E above lowest polymorph in eV/atom: 0.177

abc: 5.522 9.210 5.460
angles: 90.00 90.00 90.00
Fractional coordinates of all 16 atoms:
Dy  0.005  0.313  0.093
Dy  0.505  0.687  0.093
Dy  0.495  0.313  0.593
Dy  0.995  0.687  0.593
Li  0.152  0.033  0.446
Li  0.652  0.967  0.446
Li  0.348  0.033  0.946
Li  0.848  0.967  0.946
O  0.055  0.098  0.118
O  0.555  0.902  0.118
O  0.445  0.098  0.618
O  0.945  0.902  0.618
S  0.507  0.359  0.093
S  0.007  0.641  0.093
S  0.993  0.359  0.593
S  0.493  0.641  0.593



(11)
The following is a PBE calculation of a geometry-optimized SrTePdO structure, from the Open Quantum Materials Database.

Results
E above lowest polymorph in eV/atom: 0.467

abc: 4.260 4.260 9.266
angles: 90.00 90.00 90.00
Fractional coordinates of all 8 atoms:
O  0.750  0.250  0.500
O  0.250  0.750  0.500
Pd  0.250  0.250  0.403
Pd  0.750  0.750  0.597
Sr  0.750  0.750  0.283
Sr  0.250  0.250  0.717
Te  0.250  0.250  0.117
Te  0.750  0.750  0.883



(12)
The following is a PBE calculation of a geometry-optimized ErZrTe structure, from the Open Quantum Materials Database.

Results
M_tot in μB per formula unit: 0.013
E above lowest polymorph in eV/atom: 0.000

abc: 4.872 4.872 4.872
angles: 60.00 60.00 60.00
Fractional coordinates of all 3 atoms:
Er  0.250  0.250  0.250
Te  0.000  0.000  0.000
Zr  0.750  0.750  0.750